Here is crystalline CuSbW at its relaxed geometry from the Alexandria database. Energies are from PBE.

Summary:
Polymorph energy (0 for the lowest one) = 0.1345 eV/atom
Formation energy from raw total energies = 685 meV per atom
DFT total energy = -38.231 eV for the cell shown

Lattice parameters (Å, degrees): 2.9253 2.9253 13.9157 90.00 90.00 90.00
Last column: nearest neighbours and their distance in Å.
Space group I4mm (No. 107)
One atom of each set of equivalent atoms:
Cu (0.0000, 0.0000, 0.0000) [2 per cell]  4 W 2.63, 4 Cu 2.93
Sb (0.0000, 0.0000, 0.7261) [2 per cell]  4 Sb 2.93, 4 W 3.01
W (0.0000, 0.0000, 0.3833) [2 per cell]  4 Cu 2.63, 4 W 2.93

Here is crystalline CuSb2W at its relaxed geometry from the Alexandria database. Energies are from PBE.

Summary:
Polymorph energy (0 for the lowest one) = 0.1074 eV/atom
Formation energy from raw total energies = 429 meV per atom
DFT total energy = -23.577 eV for the cell shown

Lattice parameters (Å, degrees): 3.4720 3.4724 6.3584 90.00 95.44 90.00
Last column: nearest neighbours and their distance in Å.
Space group P2/m (No. 10)
One atom of each set of equivalent atoms:
Cu (0.0000, 0.0000, 0.0000) [1 per cell]  4 Sb 2.78
Sb (0.4608, 0.5000, 0.2565) [2 per cell]  2 Cu 2.78, 4 W 2.89-2.91, 1 Sb 3.08
W (0.0000, 0.0000, 0.5000) [1 per cell]  8 Sb 2.89-2.91, 2 Cu 3.18

Here is crystalline CuSbW3 at its relaxed geometry from the Alexandria database. Energies are from PBE.

Summary:
Polymorph energy (0 for the lowest one) = 1.0310 eV/atom
Formation energy from raw total energies = 2812 meV per atom
DFT total energy = -33.018 eV for the cell shown

Lattice parameters (Å, degrees): 4.8741 4.8741 4.8741 90.00 90.00 90.00
Last column: nearest neighbours and their distance in Å.
Space group Pm-3m (No. 221)
One atom of each set of equivalent atoms:
Cu (0.0000, 0.0000, 0.0000) [1 per cell]  12 W 3.45
Sb (0.5000, 0.5000, 0.5000) [1 per cell]  6 W 2.44
W (0.0000, 0.5000, 0.5000) [3 per cell]  2 Sb 2.44

Here is crystalline CuSb2W at its relaxed geometry from the Alexandria database. Energies are from PBE.

Summary:
Polymorph energy (0 for the lowest one) = 0.4656 eV/atom
Formation energy from raw total energies = 788 meV per atom
DFT total energy = -22.144 eV for the cell shown

Lattice parameters (Å, degrees): 3.5885 4.2115 5.1675 90.00 90.00 90.00
Last column: nearest neighbours and their distance in Å.
Space group Pmmm (No. 47)
One atom of each set of equivalent atoms:
Cu (0.0000, 0.0000, 0.0000) [1 per cell]  4 Sb 2.77
Sb (0.0000, 0.5000, 0.5000) [1 per cell]  4 W 2.77
Sb (0.5000, 0.5000, 0.0000) [1 per cell]  4 Cu 2.77
W (0.5000, 0.0000, 0.5000) [1 per cell]  4 Sb 2.77

Here is crystalline CuSbW4 at its relaxed geometry from the Alexandria database. Energies are from PBE.

Summary:
Formation energy from raw total energies = 805 meV per atom
DFT total energy = -220.810 eV for the cell shown

Lattice parameters (Å, degrees): 7.5448 7.5448 7.5448 90.00 90.00 90.00
Last column: nearest neighbours and their distance in Å.
Space group F-43m (No. 216)
One atom of each set of equivalent atoms:
Cu (0.0000, 0.0000, 0.0000) [4 per cell]  12 W 3.12, 4 Sb 3.27
Sb (0.2500, 0.2500, 0.7500) [4 per cell]  12 W 3.13, 4 Cu 3.27
W (0.1271, 0.1271, 0.3729) [16 per cell]  6 W 2.62-2.71

Here is crystalline CuSb2W at its relaxed geometry from the Alexandria database. Energies are from PBE.

Summary:
Polymorph energy (0 for the lowest one) = 0.3417 eV/atom
Formation energy from raw total energies = 664 meV per atom
DFT total energy = -45.279 eV for the cell shown

Lattice parameters (Å, degrees): 3.7059 4.9973 8.4976 90.00 90.00 90.00
Last column: nearest neighbours and their distance in Å.
Space group Cmmm (No. 65)
One atom of each set of equivalent atoms:
Cu (0.0000, 0.0000, 0.0000) [2 per cell]  4 Sb 2.80, 4 Cu 3.11
Sb (0.0000, 0.5000, 0.2470) [4 per cell]  2 Cu 2.80, 2 W 2.84, 4 Sb 3.11
W (0.0000, 0.0000, 0.5000) [2 per cell]  4 Sb 2.84, 4 W 3.11

Here is crystalline CuSb2W at its relaxed geometry from the Alexandria database. Energies are from PBE.

Summary:
Polymorph energy (0 for the lowest one) = 0.1067 eV/atom
Formation energy from raw total energies = 429 meV per atom
DFT total energy = -23.579 eV for the cell shown

Lattice parameters (Å, degrees): 3.4754 3.4754 6.2812 90.00 90.00 90.00
Last column: nearest neighbours and their distance in Å.
Space group P4/mmm (No. 123)
One atom of each set of equivalent atoms:
Cu (0.0000, 0.0000, 0.0000) [1 per cell]  8 Sb 2.94, 2 W 3.14
Sb (0.5000, 0.5000, 0.2556) [2 per cell]  4 W 2.90, 4 Cu 2.94, 2 Sb 3.07-3.21
W (0.0000, 0.0000, 0.5000) [1 per cell]  8 Sb 2.90, 2 Cu 3.14

Here is crystalline CuSbW at its relaxed geometry from the Alexandria database. Energies are from PBE.

Summary:
Polymorph energy (0 for the lowest one) = 0.4325 eV/atom
Formation energy from raw total energies = 983 meV per atom
DFT total energy = -72.887 eV for the cell shown

Lattice parameters (Å, degrees): 6.2007 6.2007 6.2007 90.00 90.00 90.00
Last column: nearest neighbours and their distance in Å.
Space group F-43m (No. 216)
One atom of each set of equivalent atoms:
Cu (0.0000, 0.0000, 0.0000) [4 per cell]  4 Sb 2.68
Sb (0.2500, 0.2500, 0.2500) [4 per cell]  4 W 2.68, 4 Cu 2.68
W (0.0000, 0.0000, 0.5000) [4 per cell]  4 Sb 2.68

Here is crystalline Cu2Sb2W at its relaxed geometry from the Alexandria database. Energies are from PBE.

Summary:
Formation energy from raw total energies = 830 meV per atom
DFT total energy = -50.479 eV for the cell shown

Lattice parameters (Å, degrees): 5.0333 5.0333 7.5305 90.00 90.00 90.00
Last column: nearest neighbours and their distance in Å.
Space group I4/mmm (No. 139)
One atom of each set of equivalent atoms:
Cu (0.0000, 0.0000, 0.1521) [4 per cell]  1 Cu 2.29
Sb (0.0000, 0.5000, 0.2500) [4 per cell]  4 Cu 2.62
W (0.0000, 0.0000, 0.5000) [2 per cell]  2 Cu 2.62

Here is crystalline CuSbW at its relaxed geometry from the Alexandria database. Energies are from PBE.

Summary:
Polymorph energy (0 for the lowest one) = 0.1162 eV/atom
Formation energy from raw total energies = 667 meV per atom
DFT total energy = -19.171 eV for the cell shown

Lattice parameters (Å, degrees): 3.0598 3.0598 6.5326 90.00 90.00 120.00
Last column: nearest neighbours and their distance in Å.
Space group P3m1 (No. 156)
One atom of each set of equivalent atoms:
Cu (0.0000, 0.0000, 0.0000) [1 per cell]  3 W 2.67, 3 Sb 2.86
Sb (0.3333, 0.6667, 0.3436) [1 per cell]  3 Cu 2.86, 3 W 2.89, 6 Sb 3.06
W (0.6667, 0.3333, 0.6929) [1 per cell]  3 Cu 2.67, 3 Sb 2.89

Here is crystalline CuSbW at its relaxed geometry from the Alexandria database. Energies are from PBE.

Summary:
Polymorph energy (0 for the lowest one) = 0.1592 eV/atom
Formation energy from raw total energies = 710 meV per atom
DFT total energy = -19.041 eV for the cell shown

Lattice parameters (Å, degrees): 4.5231 4.5231 2.8343 90.00 90.00 120.00
Last column: nearest neighbours and their distance in Å.
Space group P3m1 (No. 156)
One atom of each set of equivalent atoms:
Cu (0.0000, 0.0000, 0.0000) [1 per cell]  3 Sb 2.62, 2 Cu 2.83
Sb (0.3333, 0.6667, 0.0848) [1 per cell]  3 Cu 2.62, 2 Sb 2.83, 3 W 2.86
W (0.6667, 0.3333, 0.4935) [1 per cell]  2 W 2.83, 6 Sb 2.86-3.10, 6 Cu 2.96-2.98

Here is crystalline CuSb2W at its relaxed geometry from the Alexandria database. Energies are from PBE.

Summary:
Polymorph energy (0 for the lowest one) = 0.6444 eV/atom
Formation energy from raw total energies = 966 meV per atom
DFT total energy = -85.715 eV for the cell shown

Lattice parameters (Å, degrees): 6.8049 6.8049 6.8049 90.00 90.00 90.00
Last column: nearest neighbours and their distance in Å.
Space group F-43m (No. 216)
One atom of each set of equivalent atoms:
Cu (0.0000, 0.0000, 0.0000) [4 per cell]  4 W 2.95, 4 Sb 2.95
Sb (0.0000, 0.0000, 0.5000) [4 per cell]  4 W 2.95, 4 Sb 2.95
Sb (0.2500, 0.2500, 0.2500) [4 per cell]  4 Sb 2.95, 4 Cu 2.95
W (0.2500, 0.2500, 0.7500) [4 per cell]  4 Sb 2.95, 4 Cu 2.95